This record from Alexandria via LeMat-Bulk describes an optimized crystal structure of Ca3Pm2TmSe6. The functional is GGA-PBE. Values from VASP.

Summary:
**E_form (uncorrected)**: -1.88 eV per atom
**SG**: C2/m

```
&SYSTEM
  ibrav = 0, nat = 12, ntyp = 4
/
ATOMIC_SPECIES
Ca 40.08 Ca.upf
Pm 145.00 Pm.upf
Tm 168.93 Tm.upf
Se 78.96 Se.upf
ATOMIC_POSITIONS angstrom
Ca 5.3896 -0.6759 -2.2173
Ca 2.2175 3.7368 3.9422
Ca 3.8036 1.5305 0.8624
Pm 3.1384 -2.5988 0.7321
Pm 1.5480 -0.3866 3.8201
Tm 0.0000 0.0000 0.0000
Se 4.9565 3.3642 2.8235
Se 4.2956 -0.7573 2.7548
Se 2.6506 -0.3032 -1.0987
Se 6.5092 1.2042 -0.1914
Se 3.3115 3.8182 -1.0299
Se 1.0979 1.8567 1.9163
CELL_PARAMETERS angstrom
-0.0553 1.8438 6.9333
4.7417 -4.8291 -2.3811
2.9207 6.0463 -2.8274
```

***

This record from Alexandria via LeMat-Bulk describes an optimized crystal structure of KTa2Rh. The functional is GGA-PBE. Values from VASP.

Summary:
**Energy relative to the elements**: 1234.2 meV/atom
**SG**: P4/mmm
**Distance to the lowest polymorph of the same formula**: 3.75 eV/f.u.

```
&SYSTEM
  ibrav = 0, nat = 4, ntyp = 3
/
ATOMIC_SPECIES
K 39.10 K.upf
Rh 102.91 Rh.upf
Ta 180.95 Ta.upf
ATOMIC_POSITIONS angstrom
K 2.4336 2.0156 0.0000
Rh 2.4336 0.0000 2.0156
Ta 0.0000 0.0000 0.0000
Ta 0.0000 2.0156 2.0156
CELL_PARAMETERS angstrom
4.8672 0.0000 0.0000
0.0000 4.0312 0.0000
0.0000 0.0000 4.0312
```

***

This record from Alexandria via LeMat-Bulk describes an optimized crystal structure of CuGe2Te6. The functional is GGA-PBE. Values from VASP.

Summary:
**E_form (uncorrected)**: 0.07 eV per atom
**SG**: C2/c

```
&SYSTEM
  ibrav = 0, nat = 18, ntyp = 3
/
ATOMIC_SPECIES
Cu 63.55 Cu.upf
Ge 72.64 Ge.upf
Te 127.60 Te.upf
ATOMIC_POSITIONS angstrom
Cu -5.0019 -6.0896 3.2143
Cu -4.4654 -6.3870 -6.5294
Ge -3.6152 -8.9174 0.0720
Ge -3.4740 -3.7236 -0.2296
Ge -5.8522 -3.5592 -3.3871
Ge -5.9934 -8.7530 -3.0855
Te -3.5061 -7.9774 -2.4573
Te -1.7317 -4.9568 -1.8838
Te -5.9613 -4.4992 -0.8578
Te -7.7357 -7.5198 -1.4313
Te -6.4164 -7.9709 -5.5747
Te -3.7728 -4.6037 -4.6408
Te -3.0509 -4.5057 2.2596
Te -5.6946 -7.8729 1.3257
Te -3.9323 -11.5876 0.1405
Te -3.1729 -1.0508 -0.2620
Te -5.5351 -0.8890 -3.4556
Te -6.2945 -11.4258 -3.0531
CELL_PARAMETERS angstrom
-6.2996 0.5731 -2.8280
0.7563 -6.8956 -5.5316
-3.9241 -6.1542 5.0445
```

***

This record from Alexandria via LeMat-Bulk describes an optimized crystal structure of La2InAg3. The functional is GGA-PBE. Values from VASP.

Summary:
**Energy relative to the elements**: -274.5 meV/atom
**SG**: Imm2
**Distance to the lowest polymorph of the same formula**: 0.42 eV/f.u.

```
&SYSTEM
  ibrav = 0, nat = 6, ntyp = 3
/
ATOMIC_SPECIES
La 138.91 La.upf
In 114.82 In.upf
Ag 107.87 Ag.upf
ATOMIC_POSITIONS angstrom
La 0.5515 0.6305 2.0717
La 3.5178 1.8758 5.6642
In 1.8638 4.5667 7.0018
Ag 2.5711 3.2293 2.1076
Ag 1.8900 2.4505 -0.4512
Ag 1.1662 3.7692 4.3814
CELL_PARAMETERS angstrom
3.7541 0.0000 -0.9993
-0.3392 4.4838 -1.2743
0.4950 0.2763 9.4111
```

***

Calculated total energy, respectively: -63.46 -27.22 -63.06 -22.79 eV for the cell shown.